A plane-wave DFT calculation with PBE was carried out for an optimized crystal structure of MnZn8Au2.

- DFT formation energy: 0.05 eV per atom
- Relative energy among the computed polymorphs: 153.1 meV/atom
- V: 197.3 Å³ per cell
- Total moment: 3.2 Bohr magnetons per cell

Cell: 6.619 6.619 4.712 Å, 102.10 102.10 86.27°
Positions (direct):
Mn 0.000 0.000 0.000
Zn 0.146 0.656 0.148
Zn 0.282 0.282 0.154
Zn 0.344 0.854 0.852
Zn 0.433 0.433 0.712
Zn 0.567 0.567 0.288
Zn 0.656 0.146 0.148
Zn 0.718 0.718 0.846
Zn 0.854 0.344 0.852
Au 0.152 0.152 0.573
Au 0.848 0.848 0.427